[1]
PuGaSnBi after structural relaxation. Source: Alexandria, functional GGA-PBE.

Cell lengths 4.666, 4.617, 4.684 Å; angles 90.00, 90.00, 90.00 degrees
Each line ends with the local moment (μB).
Sites, in units of the cell vectors:
Pu  0.500  0.000  0.500  -5.32
Ga  0.500  0.500  0.000  -0.01
Sn  0.000  0.000  0.000  0.02
Bi  0.000  0.500  0.500  0.06

Summary:
energy: -6.604 eV per atom

***

[2]
RbGaBi4 after structural relaxation. Source: Alexandria, functional GGA-PBE.

Cell lengths 7.972, 7.870, 8.828 Å; angles 94.86, 82.41, 125.57 degrees
Sites, in units of the cell vectors:
Rb  0.768  0.653  0.180
Rb  0.232  0.347  0.820
Ga  0.500  0.000  0.500
Ga  0.000  0.500  0.500
Bi  0.653  0.925  0.892
Bi  0.821  0.199  0.225
Bi  0.347  0.075  0.108
Bi  0.179  0.801  0.775
Bi  0.854  0.803  0.605
Bi  0.283  0.678  0.226
Bi  0.146  0.197  0.395
Bi  0.717  0.322  0.774

Summary:
energy: -3.291 eV per atom
offset from the most stable computed form: 0 meV per atom

***

[3]
Rb3GaBi2 after structural relaxation. Source: Alexandria, functional GGA-PBE.

Cell lengths 4.858, 15.851, 14.539 Å; angles 90.00, 90.00, 90.00 degrees
Sites, in units of the cell vectors:
Rb  0.250  0.385  0.069
Rb  0.750  0.615  0.931
Rb  0.750  0.885  0.431
Rb  0.250  0.115  0.569
Rb  0.250  0.707  0.179
Rb  0.750  0.293  0.821
Rb  0.750  0.207  0.321
Rb  0.250  0.793  0.679
Rb  0.250  0.444  0.384
Rb  0.750  0.556  0.616
Rb  0.750  0.944  0.116
Rb  0.250  0.056  0.884
Ga  0.250  0.128  0.146
Ga  0.750  0.872  0.854
Ga  0.750  0.628  0.354
Ga  0.250  0.372  0.646
Bi  0.250  0.683  0.441
Bi  0.750  0.317  0.559
Bi  0.750  0.183  0.059
Bi  0.250  0.817  0.941
Bi  0.250  0.028  0.299
Bi  0.750  0.972  0.701
Bi  0.750  0.528  0.201
Bi  0.250  0.472  0.799

Summary:
energy: -2.590 eV per atom
offset from the most stable computed form: 0 meV per atom